Density functional theory data (SCAN) for a PBEsol-optimized structure of NdH4S2NO8.

- raw total energy (eV/cell) = -654.706
- Fermi-level density of states (states/eV per cell) = 0.00

abc: 7.1304 8.8262 10.7729
angles: 92.05 90.00 90.00
With the nearest neighbours (Å) after each atom.
Sites, in units of the cell vectors:
O 0.6502 0.6600 0.6063  1 S 1.44
O 0.5494 0.1260 0.0582  1 S 1.51
O 0.7425 0.2929 0.4656  1 S 1.49
O 0.1731 0.1142 0.0144  1 S 1.48
O 0.0079 0.0997 0.8180  1 S 1.52
O 0.5079 0.9003 0.6820  1 S 1.52
O 0.2425 0.7071 0.0344  1 S 1.49
O 0.9921 0.9003 0.1820  1 S 1.52
O 0.7575 0.2929 0.9656  1 S 1.49
O 0.2575 0.7071 0.5344  1 S 1.49
O 0.3351 0.1263 0.8116  1 S 1.52
O 0.1502 0.3400 0.8937  1 S 1.44
O 0.1906 0.7671 0.8184  1 S 1.49
O 0.6731 0.8858 0.4856  1 S 1.48
O 0.1649 0.1263 0.3116  1 S 1.52
O 0.3269 0.1142 0.5144  1 S 1.48
O 0.9506 0.1260 0.5582  1 S 1.51
O 0.8094 0.2329 0.1816  1 S 1.49
O 0.4921 0.0997 0.3180  1 S 1.52
O 0.0454 0.6081 0.3711  1 S 1.46
O 0.0494 0.8740 0.4418  1 S 1.51
O 0.3498 0.3400 0.3937  1 S 1.44
O 0.6906 0.2329 0.6816  1 S 1.49
O 0.8498 0.6600 0.1063  1 S 1.44
O 0.4546 0.6081 0.8711  1 S 1.46
O 0.8351 0.8737 0.6884  1 S 1.52
O 0.5454 0.3919 0.1289  1 S 1.46
O 0.3094 0.7671 0.3184  1 S 1.49
O 0.4506 0.8740 0.9418  1 S 1.51
O 0.9546 0.3919 0.6289  1 S 1.46
O 0.8269 0.8858 0.9856  1 S 1.48
O 0.6649 0.8737 0.1884  1 S 1.52
S 0.6649 0.2662 0.0866  4 O 1.46-1.51
S 0.1671 0.1771 0.8894  4 O 1.44-1.52
S 0.1649 0.7338 0.4134  4 O 1.46-1.51
S 0.8351 0.2662 0.5866  4 O 1.46-1.51
S 0.3351 0.7338 0.9134  4 O 1.46-1.51
S 0.6671 0.8229 0.6106  4 O 1.44-1.52
S 0.3329 0.1771 0.3894  4 O 1.44-1.52
S 0.8329 0.8229 0.1106  4 O 1.44-1.52
H 0.4361 0.3481 0.6430  1 N 1.03
H 0.6327 0.4781 0.4043  1 N 1.04
H 0.6295 0.5137 0.2522  1 N 1.05
H 0.5639 0.6519 0.3570  1 N 1.03
H 0.7934 0.5971 0.3493  1 N 1.04
H 0.1327 0.5219 0.0957  1 N 1.04
H 0.2066 0.4029 0.6507  1 N 1.04
H 0.7066 0.5971 0.8493  1 N 1.04
H 0.9361 0.6519 0.8570  1 N 1.03
H 0.0639 0.3481 0.1430  1 N 1.03
H 0.8673 0.4781 0.9043  1 N 1.04
H 0.3673 0.5219 0.5957  1 N 1.04
H 0.2934 0.4029 0.1507  1 N 1.04
H 0.8705 0.5137 0.7522  1 N 1.05
H 0.1295 0.4863 0.2478  1 N 1.05
H 0.3705 0.4863 0.7478  1 N 1.05
Nd 0.8304 0.0524 0.3479  9 O 2.40-2.58
Nd 0.3304 0.9476 0.1521  9 O 2.40-2.58
Nd 0.6696 0.0524 0.8479  9 O 2.40-2.58
Nd 0.1696 0.9476 0.6521  9 O 2.40-2.58
N 0.1543 0.4381 0.1592  4 H 1.03-1.05
N 0.8457 0.5619 0.8408  4 H 1.03-1.05
N 0.3457 0.4381 0.6592  4 H 1.03-1.05
N 0.6543 0.5619 0.3408  4 H 1.03-1.05